Model w:
## Sc4AlPd2 (PBE-GGA)

Data for a geometry-optimized Sc4AlPd2 structure.

Cell: 4.563 4.563 8.947 Å, 75.23 75.23 60.00°
Element x y z (fractional)
Sc 0.119 0.119 0.642
Sc 0.295 0.295 0.115
Sc 0.881 0.881 0.358
Sc 0.705 0.705 0.885
Pd 0.597 0.597 0.208
Pd 0.403 0.403 0.792
Al 0.500 0.500 0.500

Output
Symmetry = R-3m, No. 166
Crystal system = trigonal
Calculated volume = 22.02 A^3/atom

Model x:
## Sc4AlPd2 (PBE-GGA)

Data for a geometry-optimized Sc4AlPd2 structure.

Cell: 4.685 4.685 7.928 Å, 72.82 72.82 60.00°
Element x y z (fractional)
Sc 0.131 0.131 0.608
Sc 0.615 0.615 0.155
Sc 0.869 0.869 0.392
Sc 0.385 0.385 0.845
Pd 0.257 0.257 0.229
Pd 0.743 0.743 0.771
Al 0.000 0.000 0.000

Output
Symmetry = R-3m, No. 166
Crystal system = trigonal
Calculated volume = 20.24 A^3/atom

Short version: model x, model w, most stable first.

Model w:
## AlPd4Se (PBE-GGA)

Data for a geometry-optimized AlPd4Se structure.

Cell: 3.723 6.458 16.061 Å, 90.00 90.00 90.00°
Element x y z (fractional)
Pd 0.750 0.885 0.216
Pd 0.250 0.941 0.065
Pd 0.250 0.615 0.716
Pd 0.750 0.443 0.839
Pd 0.250 0.239 0.598
Pd 0.250 0.115 0.784
Pd 0.750 0.943 0.661
Pd 0.250 0.441 0.435
Pd 0.750 0.761 0.402
Pd 0.250 0.739 0.902
Pd 0.250 0.557 0.161
Pd 0.250 0.057 0.339
Pd 0.750 0.059 0.935
Pd 0.750 0.559 0.565
Pd 0.750 0.385 0.284
Pd 0.750 0.261 0.098
Se 0.750 0.176 0.439
Se 0.250 0.824 0.561
Se 0.750 0.676 0.061
Se 0.250 0.324 0.939
Al 0.250 0.673 0.305
Al 0.250 0.173 0.195
Al 0.750 0.827 0.805
Al 0.750 0.327 0.695

Output
Symmetry = Pnma, No. 62
Crystal system = orthorhombic
Calculated volume = 16.09 A^3/atom

Model x:
## AlPd4Se (PBE-GGA)

Data for a geometry-optimized AlPd4Se structure.

Cell: 4.538 8.474 6.801 Å, 90.00 90.00 129.13°
Element x y z (fractional)
Pd 0.993 0.329 0.542
Pd 0.474 0.311 0.250
Pd 0.526 0.689 0.750
Pd 0.007 0.671 0.042
Pd 0.993 0.329 0.958
Pd 0.655 0.038 0.250
Pd 0.345 0.962 0.750
Pd 0.007 0.671 0.458
Al 0.312 0.552 0.250
Al 0.688 0.448 0.750
Se 0.983 0.078 0.750
Se 0.017 0.922 0.250

Output
Symmetry = P2_1/m, No. 11
Crystal system = monoclinic
Calculated volume = 16.91 A^3/atom

Short version: model w, model x, most stable first.

Model w:
## Al2SiPd5 (PBE-GGA)

Data for a geometry-optimized Al2SiPd5 structure.

Cell: 3.981 7.206 11.716 Å, 90.00 90.00 106.04°
Element x y z (fractional)
Si 0.830 0.660 0.750
Si 0.170 0.340 0.250
Al 0.874 0.749 0.078
Al 0.874 0.749 0.422
Al 0.126 0.251 0.922
Al 0.126 0.251 0.578
Pd 0.740 0.480 0.579
Pd 0.233 0.465 0.750
Pd 0.260 0.520 0.421
Pd 0.952 0.904 0.611
Pd 0.740 0.480 0.921
Pd 0.048 0.096 0.111
Pd 0.952 0.904 0.889
Pd 0.767 0.535 0.250
Pd 0.260 0.520 0.079
Pd 0.048 0.096 0.389

Output
Symmetry = Cmcm, No. 63
Crystal system = orthorhombic
Calculated volume = 20.19 A^3/atom

Model x:
## Al2SiPd5 (PBE-GGA)

Data for a geometry-optimized Al2SiPd5 structure.

Cell: 4.078 5.454 10.499 Å, 90.00 90.00 90.00°
Element x y z (fractional)
Pd 0.500 0.679 0.901
Pd 0.500 0.321 0.099
Pd 0.000 0.111 0.278
Pd 0.000 0.611 0.222
Pd 0.000 0.389 0.778
Pd 0.000 0.500 0.500
Pd 0.000 0.889 0.722
Pd 0.000 0.000 0.000
Pd 0.500 0.179 0.599
Pd 0.500 0.821 0.401
Al 0.500 0.362 0.351
Al 0.500 0.638 0.649
Al 0.500 0.862 0.149
Al 0.500 0.138 0.851
Si 0.000 0.000 0.500
Si 0.000 0.500 0.000

Output
Symmetry = Pbam, No. 55
Crystal system = orthorhombic
Calculated volume = 14.59 A^3/atom

Short version: model x, model w, most stable first.

Model w:
## AlSi2Pd8 (PBE-GGA)

Data for a geometry-optimized AlSi2Pd8 structure.

Cell: 4.023 5.978 7.519 Å, 109.02 105.52 90.00°
Element x y z (fractional)
Pd 0.675 0.964 0.349
Pd 0.805 0.695 0.610
Pd 0.195 0.305 0.390
Pd 0.970 0.223 0.940
Pd 0.405 0.530 0.810
Pd 0.325 0.036 0.651
Pd 0.030 0.777 0.060
Pd 0.595 0.470 0.190
Si 0.819 0.309 0.639
Si 0.181 0.691 0.361
Al 0.500 0.000 0.000

Output
Symmetry = C2/m, No. 12
Crystal system = monoclinic
Calculated volume = 14.91 A^3/atom

Model x:
## AlSi2Pd8 (PBE-GGA)

Data for a geometry-optimized AlSi2Pd8 structure.

Cell: 3.945 7.012 7.163 Å, 119.31 105.98 90.00°
Element x y z (fractional)
Pd 0.000 0.690 0.000
Pd 0.666 0.449 0.332
Pd 0.334 0.118 0.668
Pd 0.138 0.138 0.276
Pd 0.000 0.310 0.000
Pd 0.666 0.882 0.332
Pd 0.862 0.862 0.724
Pd 0.334 0.551 0.668
Si 0.184 0.684 0.368
Si 0.816 0.316 0.632
Al 0.500 0.000 0.000

Output
Symmetry = Immm, No. 71
Crystal system = orthorhombic
Calculated volume = 14.90 A^3/atom

Short version: model w, model x, most stable first.

Model w:
## Sm2AlPd (PBE-GGA)

Data for a geometry-optimized Sm2AlPd structure.

Cell: 4.560 4.558 6.231 Å, 68.55 68.54 59.99°
Element x y z (fractional)
Sm 0.899 0.662 0.540
Sm 0.705 0.468 0.121
Al 0.129 0.892 0.850
Pd 0.477 0.240 0.805

Output
Symmetry = R3m, No. 160
Crystal system = trigonal
Calculated volume = 25.42 A^3/atom

Model x:
## Sm2AlPd (PBE-GGA)

Data for a geometry-optimized Sm2AlPd structure.

Cell: 3.587 3.587 7.469 Å, 90.00 90.00 90.00°
Element x y z (fractional)
Al 0.500 0.500 0.500
Pd 0.500 0.500 0.000
Sm 0.000 0.000 0.763
Sm 0.000 0.000 0.237

Output
Symmetry = P4/mmm, No. 123
Crystal system = tetragonal
Calculated volume = 24.03 A^3/atom

Short version: model x, model w, most stable first.

Model w:
## Sm2Al5Pd3 (PBE-GGA)

Data for a geometry-optimized Sm2Al5Pd3 structure.

Cell: 5.783 8.715 8.715 Å, 73.15 70.62 70.62°
Element x y z (fractional)
Al 0.461 0.789 0.789
Al 0.093 0.074 0.740
Al 0.539 0.211 0.211
Al 0.407 0.260 0.926
Al 0.250 0.500 0.500
Al 0.961 0.789 0.789
Al 0.750 0.500 0.500
Al 0.593 0.740 0.074
Al 0.039 0.211 0.211
Al 0.907 0.926 0.260
Sm 0.858 0.419 0.865
Sm 0.642 0.135 0.581
Sm 0.358 0.865 0.419
Sm 0.142 0.581 0.135
Pd 0.642 0.456 0.260
Pd 0.250 0.000 0.000
Pd 0.858 0.740 0.544
Pd 0.750 0.000 0.000
Pd 0.358 0.544 0.740
Pd 0.142 0.260 0.456

Output
Symmetry = Ibam, No. 72
Crystal system = orthorhombic
Calculated volume = 19.14 A^3/atom

Model x:
## Sm2Al5Pd3 (PBE-GGA)

Data for a geometry-optimized Sm2Al5Pd3 structure.

Cell: 4.388 6.761 12.887 Å, 90.00 99.80 90.00°
Element x y z (fractional)
Al 0.289 0.516 0.578
Al 0.055 0.581 0.111
Al 0.708 0.416 0.415
Al 0.603 0.913 0.206
Al 0.397 0.413 0.794
Al 0.945 0.081 0.889
Al 0.292 0.916 0.585
Al 0.711 0.016 0.422
Al 0.127 0.249 0.254
Al 0.873 0.749 0.746
Pd 0.773 0.714 0.547
Pd 0.948 0.473 0.896
Pd 0.052 0.973 0.104
Pd 0.227 0.214 0.453
Pd 0.392 0.016 0.784
Pd 0.608 0.516 0.216
Sm 0.825 0.228 0.651
Sm 0.518 0.260 0.036
Sm 0.175 0.728 0.349
Sm 0.482 0.760 0.964

Output
Symmetry = Cmc2_1, No. 36
Crystal system = orthorhombic
Calculated volume = 18.84 A^3/atom

Short version: model w, model x, most stable first.

Model w:
## SmAlPd6 (PBE-GGA)

Data for a geometry-optimized SmAlPd6 structure.

Cell: 4.089 4.089 7.922 Å, 90.00 90.00 90.00°
Element x y z (fractional)
Al 0.000 0.000 0.500
Pd 0.500 0.500 0.500
Pd 0.000 0.500 0.273
Pd 0.500 0.500 0.000
Pd 0.500 0.000 0.273
Pd 0.000 0.500 0.727
Pd 0.500 0.000 0.727
Sm 0.000 0.000 0.000

Output
Symmetry = P4/mmm, No. 123
Crystal system = tetragonal
Calculated volume = 16.56 A^3/atom

Model x:
## SmAlPd6 (PBE-GGA)

Data for a geometry-optimized SmAlPd6 structure.

Cell: 3.971 3.971 9.337 Å, 90.00 90.00 90.00°
Element x y z (fractional)
Sm 0.000 0.000 0.000
Pd 0.500 0.500 0.138
Pd 0.500 0.500 0.862
Pd 0.500 0.000 0.337
Pd 0.500 0.000 0.663
Pd 0.000 0.500 0.337
Pd 0.000 0.500 0.663
Al 0.000 0.000 0.500

Output
Symmetry = P4/mmm, No. 123
Crystal system = tetragonal
Calculated volume = 18.41 A^3/atom

Short version: model w, model x, most stable first.

Model w:
## TbSmAlPd (PBE-GGA)

Data for a geometry-optimized TbSmAlPd structure.

Cell: 3.859 4.438 6.013 Å, 90.00 108.71 90.00°
Element x y z (fractional)
Al 0.433 0.000 0.866
Sm 0.850 0.500 0.700
Pd 0.573 0.500 0.145
Tb 0.145 0.000 0.289

Output
Symmetry = Amm2, No. 38
Crystal system = orthorhombic
Calculated volume = 24.38 A^3/atom

Model x:
## TbSmAlPd (PBE-GGA)

Data for a geometry-optimized TbSmAlPd structure.

Cell: 5.126 5.126 5.126 Å, 60.00 60.00 60.00°
Element x y z (fractional)
Sm 0.500 0.500 0.500
Tb 0.000 0.000 0.000
Pd 0.750 0.750 0.750
Al 0.250 0.250 0.250

Output
Symmetry = F-43m, No. 216
Crystal system = cubic
Calculated volume = 23.81 A^3/atom

Short version: model w, model x, most stable first.

Model w:
## AlSn2Pd8 (PBE-GGA)

Data for a geometry-optimized AlSn2Pd8 structure.

Cell: 4.131 7.386 7.364 Å, 120.10 106.29 90.00°
Element x y z (fractional)
Sn 0.821 0.321 0.643
Sn 0.179 0.679 0.357
Pd 0.341 0.100 0.681
Pd 0.000 0.717 0.000
Pd 0.000 0.283 0.000
Pd 0.341 0.581 0.681
Pd 0.659 0.419 0.319
Pd 0.659 0.900 0.319
Pd 0.851 0.851 0.703
Pd 0.149 0.149 0.297
Al 0.500 0.000 0.000

Output
Symmetry = Immm, No. 71
Crystal system = orthorhombic
Calculated volume = 16.71 A^3/atom

Model x:
## AlSn2Pd8 (PBE-GGA)

Data for a geometry-optimized AlSn2Pd8 structure.

Cell: 4.547 5.926 7.739 Å, 112.49 107.08 90.00°
Element x y z (fractional)
Al 0.500 0.000 0.000
Pd 0.176 0.176 0.351
Pd 0.824 0.824 0.649
Pd 0.357 0.114 0.714
Pd 0.643 0.401 0.286
Pd 0.000 0.251 0.000
Pd 0.357 0.599 0.714
Pd 0.643 0.886 0.286
Pd 0.000 0.749 0.000
Sn 0.180 0.679 0.359
Sn 0.820 0.321 0.641

Output
Symmetry = Immm, No. 71
Crystal system = orthorhombic
Calculated volume = 16.61 A^3/atom

Short version: model w, model x, most stable first.

Model w:
## AlSnPd4 (PBE-GGA)

Data for a geometry-optimized AlSnPd4 structure.

Cell: 3.208 7.197 16.840 Å, 90.00 90.00 90.00°
Element x y z (fractional)
Pd 0.750 0.954 0.205
Pd 0.250 0.046 0.795
Pd 0.250 0.636 0.159
Pd 0.250 0.023 0.067
Pd 0.750 0.454 0.295
Pd 0.750 0.364 0.841
Pd 0.250 0.136 0.341
Pd 0.750 0.477 0.567
Pd 0.250 0.116 0.554
Pd 0.750 0.864 0.659
Pd 0.750 0.884 0.446
Pd 0.250 0.546 0.705
Pd 0.250 0.523 0.433
Pd 0.250 0.616 0.946
Pd 0.750 0.384 0.054
Pd 0.750 0.977 0.933
Al 0.250 0.250 0.946
Al 0.750 0.750 0.054
Al 0.750 0.250 0.446
Al 0.250 0.750 0.554
Sn 0.250 0.268 0.186
Sn 0.250 0.768 0.314
Sn 0.750 0.232 0.686
Sn 0.750 0.732 0.814

Output
Symmetry = Pnma, No. 62
Crystal system = orthorhombic
Calculated volume = 16.20 A^3/atom

Model x:
## AlSnPd4 (PBE-GGA)

Data for a geometry-optimized AlSnPd4 structure.

Cell: 4.620 5.334 8.146 Å, 90.00 89.98 90.00°
Element x y z (fractional)
Sn 0.000 0.000 0.000
Sn 0.500 0.500 0.000
Pd 0.000 0.581 0.184
Pd 0.000 0.907 0.658
Pd 0.000 0.419 0.816
Pd 0.500 0.407 0.342
Pd 0.500 0.919 0.184
Pd 0.500 0.081 0.816
Pd 0.500 0.593 0.658
Pd 0.000 0.093 0.342
Al 0.500 0.000 0.500
Al 0.000 0.500 0.500

Output
Symmetry = Pmna, No. 53
Crystal system = orthorhombic
Calculated volume = 16.73 A^3/atom

Short version: model w, model x, most stable first.